[1]
# BaEr2ZnO5 (SCAN, single point on PBEsol structure)
data_BaEr2ZnO5
_symmetry_space_group_name_H-M 'P n m a'
_symmetry_Int_Tables_number 62
_symmetry_space_group_name_Hall '-P 2ac 2n'
_cell_length_a 12.1794
_cell_length_b 5.6435
_cell_length_c 6.9753
_cell_angle_alpha 90.00
_cell_angle_beta 90.00
_cell_angle_gamma 90.00
loop_
_atom_site_label
_atom_site_fract_x
_atom_site_fract_y
_atom_site_fract_z
Ba1 0.1010 0.2500 0.0775
Er1 0.0746 0.7500 0.4012
Er2 0.2079 0.2500 0.6205
Zn1 0.1509 0.7500 0.8089
O1 0.0654 0.5006 0.6643
O2 0.1016 0.7500 0.0784
O3 0.2244 0.5006 0.3611
# Spin magnetization: 0.00 μB per cell
# Uncorrected formation energy: -3.214 eV/atom
# Electronic total energy: -855.3 eV for the cell shown

[2]
# Na2Sn2C3O6F3 (SCAN, single point on PBEsol structure)
data_Na2Sn2C3O6F3
_symmetry_space_group_name_H-M 'P -1'
_symmetry_Int_Tables_number 2
_symmetry_space_group_name_Hall '-P 1'
_cell_length_a 6.0085
_cell_length_b 8.6835
_cell_length_c 9.1110
_cell_angle_alpha 69.27
_cell_angle_beta 81.27
_cell_angle_gamma 82.68
loop_
_atom_site_label
_atom_site_fract_x
_atom_site_fract_y
_atom_site_fract_z
Na1 0.1441 0.2607 0.1259
Na2 0.2876 0.9534 0.9240
Sn1 0.1569 0.4293 0.6771
Sn2 0.1697 0.8552 0.3719
C1 0.3994 0.5004 0.2299
C2 0.4086 0.6029 0.8356
C3 0.4160 0.0775 0.4853
O1 0.2009 0.4784 0.2174
O2 0.2063 0.5790 0.8229
O3 0.2440 0.0801 0.4177
O4 0.4571 0.5976 0.2910
O5 0.4589 0.7003 0.8956
O6 0.4595 0.1913 0.5289
F1 0.0679 0.9571 0.7502
F2 0.1208 0.2277 0.8860
F3 0.3605 0.9618 0.1568
# Spin magnetization: 0.00 μB per cell
# Uncorrected formation energy: -1.761 eV/atom
# Electronic total energy: -373.5 eV for the cell shown

[3]
# Ce2In8Pt (SCAN, single point on PBEsol structure)
data_Ce2In8Pt
_symmetry_space_group_name_H-M 'P 4/m m m'
_symmetry_Int_Tables_number 123
_symmetry_space_group_name_Hall '-P 4 2'
_cell_length_a 4.6473
_cell_length_b 4.6473
_cell_length_c 11.9835
_cell_angle_alpha 90.00
_cell_angle_beta 90.00
_cell_angle_gamma 90.00
loop_
_atom_site_label
_atom_site_fract_x
_atom_site_fract_y
_atom_site_fract_z
Ce1 0.0000 0.0000 0.1917
In1 0.0000 0.5000 0.0000
In2 0.0000 0.5000 0.3744
In3 0.5000 0.5000 0.1902
Pt1 0.0000 0.0000 0.5000
# Spin magnetization: 2.03 μB per cell
# Electronic total energy: -432.6 eV for the cell shown

[4]
# BaSbAu (SCAN, single point on PBEsol structure)
data_BaSbAu
_symmetry_space_group_name_H-M 'P 63/m m c'
_symmetry_Int_Tables_number 194
_symmetry_space_group_name_Hall '-P 6c 2c'
_cell_length_a 4.7507
_cell_length_b 4.7507
_cell_length_c 9.2751
_cell_angle_alpha 90.00
_cell_angle_beta 90.00
_cell_angle_gamma 120.00
loop_
_atom_site_label
_atom_site_fract_x
_atom_site_fract_y
_atom_site_fract_z
Ba1 0.0000 0.0000 0.0000
Sb1 0.3333 0.6667 0.2500
Au1 0.3333 0.6667 0.7500
# Spin magnetization: 0.00 μB per cell
# Uncorrected formation energy: -1.114 eV/atom
# Electronic total energy: -298.6 eV for the cell shown

[5]
# HfTc3Bi (SCAN, single point on PBEsol structure)
data_HfTc3Bi
_symmetry_space_group_name_H-M 'P m -3 m'
_symmetry_Int_Tables_number 221
_symmetry_space_group_name_Hall '-P 4 2 3'
_cell_length_a 4.8174
_cell_length_b 4.8174
_cell_length_c 4.8174
_cell_angle_alpha 90.00
_cell_angle_beta 90.00
_cell_angle_gamma 90.00
loop_
_atom_site_label
_atom_site_fract_x
_atom_site_fract_y
_atom_site_fract_z
Hf1 0.0000 0.0000 0.0000
Tc1 0.0000 0.5000 0.5000
Bi1 0.5000 0.5000 0.5000
# Spin magnetization: 1.37 μB per cell
# Electronic total energy: -236.2 eV for the cell shown

[6]
# Co2CuAu (SCAN, single point on PBEsol structure)
data_Co2CuAu
_symmetry_space_group_name_H-M 'P 4/m m m'
_symmetry_Int_Tables_number 123
_symmetry_space_group_name_Hall '-P 4 2'
_cell_length_a 3.5991
_cell_length_b 3.5991
_cell_length_c 3.8234
_cell_angle_alpha 90.00
_cell_angle_beta 90.00
_cell_angle_gamma 90.00
loop_
_atom_site_label
_atom_site_fract_x
_atom_site_fract_y
_atom_site_fract_z
Co1 0.0000 0.5000 0.0000
Cu1 0.0000 0.0000 0.5000
Au1 0.5000 0.5000 0.5000
# Spin magnetization: 3.78 μB per cell
# Electronic total energy: -118.5 eV for the cell shown

[7]
# BeZnRh (SCAN, single point on PBEsol structure)
data_BeZnRh
_symmetry_space_group_name_H-M 'I 4 m m'
_symmetry_Int_Tables_number 107
_symmetry_space_group_name_Hall 'I 4 -2'
_cell_length_a 2.8563
_cell_length_b 2.8563
_cell_length_c 8.5303
_cell_angle_alpha 90.00
_cell_angle_beta 90.00
_cell_angle_gamma 90.00
loop_
_atom_site_label
_atom_site_fract_x
_atom_site_fract_y
_atom_site_fract_z
Be1 0.0000 0.0000 0.0000
Zn1 0.0000 0.0000 0.3214
Rh1 0.0000 0.0000 0.6285
# Spin magnetization: 0.00 μB per cell
# Electronic total energy: -106.4 eV for the cell shown

[8]
# NbNiSe2 (SCAN, single point on PBEsol structure)
data_NbNiSe2
_symmetry_space_group_name_H-M 'F m -3 m'
_symmetry_Int_Tables_number 225
_symmetry_space_group_name_Hall '-F 4 2 3'
_cell_length_a 6.2977
_cell_length_b 6.2977
_cell_length_c 6.2977
_cell_angle_alpha 90.00
_cell_angle_beta 90.00
_cell_angle_gamma 90.00
loop_
_atom_site_label
_atom_site_fract_x
_atom_site_fract_y
_atom_site_fract_z
Nb1 0.0000 0.0000 0.0000
Ni1 0.0000 0.0000 0.5000
Se1 0.2500 0.2500 0.2500
# Spin magnetization: 0.04 μB per cell
# Uncorrected formation energy: -0.027 eV/atom
# Electronic total energy: -358.3 eV for the cell shown

Question: Number 3 is which compound?
Answer: Ce2In8Pt